A relaxed structure of PmScV2O8. Source: Alexandria via LeMat-Bulk, functional PBE+U.

The total energy comes out at -8.086 eV/atom. As for the size of the total moment: 0.000 μB/cell.

a b c (Å): 5.9652 5.9652 5.9652
angles (deg): 106.23 106.23 116.17
With the nearest neighbours (Å) after each atom.
Fractional coordinates of all 12 atoms:
O 0.8640 0.6848 0.1792  1 V 1.73
O 0.3875 0.0800 0.3075  1 V 1.75
O 0.9200 0.6125 0.6925  1 V 1.75
O 0.7726 0.0800 0.6925  1 V 1.75
O 0.5057 0.6848 0.8208  1 V 1.73
O 0.3152 0.4943 0.1792  1 V 1.73
O 0.9200 0.2274 0.3075  1 V 1.75
O 0.3152 0.1360 0.8208  1 V 1.73
V 0.7500 0.2500 0.5000  4 O 1.75
V 0.5000 0.5000 0.0000  4 O 1.73
Pm 0.2500 0.7500 0.5000  8 O 2.33-2.50
Sc 0.0000 0.0000 0.0000  8 O 2.26-2.37